A plane-wave DFT calculation with PBE was carried out for a relaxed structure of Ba3HgP.

a = 16.6008 Å, b = 4.5977 Å, c = 12.3771 Å
α = 90.00°, β = 107.61°, γ = 90.00°
Last column: nearest neighbours and their distance in Å.
Space group C2/m (No. 12)
One atom of each set of equivalent atoms:
Ba 0.1311 0.0000 0.2156  2 P 3.18
Ba 0.1372 0.0000 0.5821  1 P 3.16, 2 Hg 3.52
Ba 0.1421 0.5000 0.8984  3 P 3.19-3.22
Hg 0.0273 0.5000 0.3739  1 Hg 3.50, 7 Ba 3.52-3.76
P 0.2464 0.5000 0.1637  6 Ba 3.16-3.22

Output
Relative energy among the computed polymorphs ... 0.000 eV per atom
D(E_F) ... 14.8 states/eV/cell